Compound: PaIn2CuO8
Source: Alexandria via LeMat-Bulk
Functional: PBE
Structure: relaxed

Properties
- total magnetization (Bohr magnetons per cell) = 1.0
- ρ (kg/m³) = 6811
- uncorrected formation energy (eV per formula unit) = -18.5

abc: 4.9383 4.9284 6.5336
angles: 90.00 90.00 90.07
Each line ends with the local moment (μB).
Positions (direct):
O  0.3144  0.3017  0.5000  0.01
O  0.8236  0.1882  0.7725  0.05
O  0.7026  0.7195  0.0000  0.25
O  0.2974  0.2805  0.0000  0.25
O  0.1764  0.8118  0.2275  0.05
O  0.8236  0.1882  0.2275  0.05
O  0.1764  0.8118  0.7725  0.05
O  0.6856  0.6983  0.5000  0.01
In  0.5000  0.5000  0.7607  0.00
In  0.5000  0.5000  0.2393  0.00
Cu  0.0000  0.0000  0.0000  0.11
Pa  0.0000  0.0000  0.5000  0.01

=====

Compound: Pa3InCu4O12
Source: Alexandria via LeMat-Bulk
Functional: PBE
Structure: relaxed

Properties
- total magnetization (Bohr magnetons per cell) = 1.2
- ρ (kg/m³) = 7190
- uncorrected formation energy (eV per formula unit) = -41.4

abc: 6.9667 6.9667 6.9667
angles: 105.90 105.90 105.90
Each line ends with the local moment (μB).
Positions (direct):
O  0.0082  0.6803  0.7838  0.03
O  0.6803  0.7838  0.0082  0.03
O  0.3349  0.6651  0.5000  0.03
O  0.7838  0.0082  0.6803  0.03
O  0.3197  0.9918  0.2162  0.03
O  0.1075  0.8925  0.5000  0.04
O  0.9918  0.2162  0.3197  0.03
O  0.2162  0.3197  0.9918  0.03
O  0.5000  0.3349  0.6651  0.03
O  0.8925  0.5000  0.1075  0.04
O  0.5000  0.1075  0.8925  0.04
O  0.6651  0.5000  0.3349  0.03
In  0.0000  0.0000  0.0000  0.00
Pa  0.5481  0.4519  0.0000  0.01
Pa  0.0000  0.5481  0.4519  0.01
Pa  0.4519  0.0000  0.5481  0.01
Cu  0.9258  0.0742  0.5000  0.16
Cu  0.5000  0.9258  0.0742  0.16
Cu  0.0742  0.5000  0.9258  0.16
Cu  0.5000  0.5000  0.5000  0.28

=====

Compound: InCu2PdO6
Source: Alexandria via LeMat-Bulk
Functional: PBE
Structure: relaxed

Properties
- total magnetization (Bohr magnetons per cell) = 5.0
- ρ (kg/m³) = 5523
- uncorrected formation energy (eV per formula unit) = -5.5

abc: 5.8460 7.0734 7.0734
angles: 81.25 73.15 73.15
Each line ends with the local moment (μB).
Positions (direct):
In  0.2500  0.9021  0.0979  0.01
In  0.7500  0.0979  0.9021  0.01
O  0.7884  0.4460  0.2690  0.34
O  0.1167  0.6459  0.1548  0.16
O  0.7116  0.7310  0.5540  0.34
O  0.8833  0.3541  0.8452  0.16
O  0.3833  0.8452  0.3541  0.16
O  0.2884  0.2690  0.4460  0.34
O  0.2116  0.5540  0.7310  0.34
O  0.6167  0.1548  0.6459  0.16
O  0.8217  0.0227  0.1978  0.06
O  0.6783  0.8022  0.9773  0.06
O  0.3217  0.1978  0.0227  0.06
O  0.1783  0.9773  0.8022  0.06
Cu  0.6459  0.2417  0.3760  0.56
Cu  0.8541  0.6240  0.7583  0.56
Cu  0.1459  0.3760  0.2417  0.56
Cu  0.3541  0.7583  0.6240  0.56
Pd  0.2500  0.2549  0.7451  0.06
Pd  0.7500  0.7451  0.2549  0.06

=====

Compound: InCuPdO4
Source: Alexandria via LeMat-Bulk
Functional: PBE
Structure: relaxed

Properties
- total magnetization (Bohr magnetons per cell) = 0.0
- ρ (kg/m³) = 6637
- uncorrected formation energy (eV per formula unit) = -5.6

abc: 6.2202 6.2680 6.3459
angles: 120.41 90.00 119.75
Positions (direct):
O  0.2473  0.9711  0.7355
O  0.7517  0.5034  0.2757
O  0.7527  0.0289  0.2645
O  0.2483  0.4966  0.7243
O  0.7238  0.9711  0.7355
O  0.7517  0.5034  0.7277
O  0.2483  0.4966  0.2723
O  0.2762  0.0289  0.2645
Pd  0.5000  0.5000  0.5000
Pd  0.0000  0.5000  0.5000
In  0.5000  0.0000  0.0000
In  0.5000  0.0000  0.5000
Cu  0.8758  0.7516  0.1258
Cu  0.1242  0.2484  0.8742

=====

Compound: Pm2InCuO6
Source: Alexandria via LeMat-Bulk
Functional: PBE
Structure: relaxed

Properties
- total magnetization (Bohr magnetons per cell) = 0.0
- ρ (kg/m³) = 6873
- uncorrected formation energy (eV per formula unit) = -21.9

abc: 5.3790 5.5520 9.1679
angles: 90.00 84.86 90.00
Positions (direct):
Pm  0.4677  0.4453  0.2398
Pm  0.0323  0.9453  0.2602
Pm  0.5323  0.5547  0.7602
Pm  0.9677  0.0547  0.7398
O  0.7371  0.3014  0.5821
O  0.3776  0.9483  0.7208
O  0.7629  0.8014  0.9179
O  0.2629  0.6986  0.4179
O  0.1224  0.4483  0.7792
O  0.6224  0.0517  0.2792
O  0.6884  0.2700  0.9337
O  0.8116  0.7700  0.5663
O  0.2371  0.1986  0.0821
O  0.8776  0.5517  0.2208
O  0.3116  0.7300  0.0663
O  0.1884  0.2300  0.4337
Cu  0.0000  0.5000  0.5000
Cu  0.5000  0.0000  0.0000
In  0.0000  0.5000  0.0000
In  0.5000  0.0000  0.5000

=====

Compound: PmInCuO4
Source: Alexandria via LeMat-Bulk
Functional: PBE
Structure: relaxed

Properties
- total magnetization (Bohr magnetons per cell) = 2.1
- ρ (kg/m³) = 6178
- uncorrected formation energy (eV per formula unit) = -12.2

abc: 5.5985 5.5985 7.1815
angles: 90.00 90.00 112.31
Each line ends with the local moment (μB).
Positions (direct):
O  0.2475  0.7525  0.4954  0.12
O  0.7525  0.2475  0.9954  0.12
O  0.2475  0.7525  0.0046  0.12
O  0.7398  0.7609  0.7500  0.08
O  0.7525  0.2475  0.5046  0.12
O  0.2602  0.2391  0.2500  0.08
O  0.2391  0.2602  0.7500  0.08
O  0.7609  0.7398  0.2500  0.08
Pm  0.5000  0.5000  0.5000  0.01
Pm  0.5000  0.5000  0.0000  0.01
In  0.1437  0.8563  0.7500  -0.01
In  0.8563  0.1437  0.2500  -0.01
Cu  0.1769  0.8231  0.2500  0.54
Cu  0.8231  0.1769  0.7500  0.54

=====

Compound: InCu2PtO6
Source: Alexandria via LeMat-Bulk
Functional: PBE
Structure: relaxed

Properties
- total magnetization (Bohr magnetons per cell) = 4.2
- ρ (kg/m³) = 6582
- uncorrected formation energy (eV per formula unit) = -6.1

abc: 5.8667 7.0648 7.0648
angles: 82.22 73.59 73.59
Each line ends with the local moment (μB).
Positions (direct):
O  0.2830  0.2648  0.4535  0.27
O  0.3855  0.8446  0.3531  0.12
O  0.7170  0.7352  0.5465  0.27
O  0.6812  0.8015  0.9785  0.04
O  0.8855  0.3531  0.8446  0.12
O  0.3188  0.1985  0.0215  0.04
O  0.7830  0.4535  0.2648  0.27
O  0.1145  0.6469  0.1554  0.12
O  0.1812  0.9785  0.8015  0.04
O  0.2170  0.5465  0.7352  0.27
O  0.6145  0.1554  0.6469  0.12
O  0.8188  0.0215  0.1985  0.04
Cu  0.6406  0.2500  0.3781  0.49
Cu  0.3594  0.7500  0.6219  0.49
Cu  0.1406  0.3781  0.2500  0.49
Cu  0.8594  0.6219  0.7500  0.49
In  0.2500  0.9023  0.0977  0.01
In  0.7500  0.0977  0.9023  0.01
Pt  0.2500  0.2534  0.7466  0.11
Pt  0.7500  0.7466  0.2534  0.11

=====

Compound: PuInCuO5
Source: Alexandria via LeMat-Bulk
Functional: PBE
Structure: relaxed

Properties
- total magnetization (Bohr magnetons per cell) = 4.0
- ρ (kg/m³) = 7346
- uncorrected formation energy (eV per formula unit) = -13.2

abc: 5.7585 5.7585 8.0131
angles: 104.89 104.89 108.07
Each line ends with the local moment (μB).
Positions (direct):
O  0.0502  0.6908  0.8509  0.14
O  0.8781  0.1219  0.7500  0.07
O  0.6943  0.6302  0.4272  0.13
O  0.6908  0.0502  0.3509  0.14
O  0.3698  0.3057  0.0728  0.13
O  0.6302  0.6943  0.9272  0.13
O  0.3092  0.9498  0.6491  0.14
O  0.3057  0.3698  0.5728  0.13
O  0.1219  0.8781  0.2500  0.07
O  0.9498  0.3092  0.1491  0.14
Pu  0.0000  0.0000  0.5000  -3.02
Pu  0.0000  0.0000  0.0000  -3.02
Cu  0.3178  0.6822  0.7500  0.41
Cu  0.6822  0.3178  0.2500  0.41
In  0.6524  0.3476  0.7500  -0.02
In  0.3476  0.6524  0.2500  -0.02